1.
A plane-wave DFT calculation with GGA-PBEsol was carried out for a relaxed CsNaSnF6 crystal.

The structure in POSCAR format:
```
CsNaSnF6
1.0
8.3245 0.0000 0.0000
0.0000 13.3509 0.0000
0.0000 0.0000 11.1251
Cs Na Sn F
8 8 8 48
Direct
0.0000 0.0691 0.2500 Cs
0.0000 0.3820 0.7500 Cs
0.0000 0.6180 0.2500 Cs
0.0000 0.9309 0.7500 Cs
0.5000 0.1180 0.2500 Cs
0.5000 0.4309 0.7500 Cs
0.5000 0.5691 0.2500 Cs
0.5000 0.8820 0.7500 Cs
0.2468 0.3567 0.0741 Na
0.2468 0.6433 0.5741 Na
0.2532 0.1433 0.5741 Na
0.2532 0.8567 0.0741 Na
0.7468 0.1433 0.9259 Na
0.7468 0.8567 0.4259 Na
0.7532 0.3567 0.4259 Na
0.7532 0.6433 0.9259 Na
0.2492 0.3631 0.4253 Sn
0.2492 0.6369 0.9253 Sn
0.2508 0.1369 0.9253 Sn
0.2508 0.8631 0.4253 Sn
0.7492 0.1369 0.5747 Sn
0.7492 0.8631 0.0747 Sn
0.7508 0.3631 0.0747 Sn
0.7508 0.6369 0.5747 Sn
0.0194 0.3812 0.4653 F
0.0194 0.6188 0.9653 F
0.0197 0.1561 0.8860 F
0.0197 0.8439 0.3860 F
0.1981 0.0005 0.4802 F
0.1981 0.9995 0.9802 F
0.2120 0.4185 0.2615 F
0.2120 0.5815 0.7615 F
0.2146 0.2207 0.3783 F
0.2146 0.7793 0.8783 F
0.2183 0.1866 0.0932 F
0.2183 0.8134 0.5933 F
0.2817 0.3134 0.5933 F
0.2817 0.6866 0.0932 F
0.2854 0.2793 0.8783 F
0.2854 0.7207 0.3783 F
0.2880 0.0815 0.7615 F
0.2880 0.9185 0.2615 F
0.3019 0.5005 0.4802 F
0.3019 0.4995 0.9802 F
0.4803 0.3439 0.3860 F
0.4803 0.6561 0.8860 F
0.4806 0.1188 0.9653 F
0.4806 0.8812 0.4653 F
0.5194 0.1188 0.5347 F
0.5194 0.8812 0.0347 F
0.5197 0.3439 0.1140 F
0.5197 0.6561 0.6140 F
0.6981 0.5005 0.0198 F
0.6981 0.4995 0.5198 F
0.7120 0.0815 0.7385 F
0.7120 0.9185 0.2385 F
0.7146 0.2793 0.6217 F
0.7146 0.7207 0.1217 F
0.7183 0.3134 0.9068 F
0.7183 0.6866 0.4068 F
0.7817 0.1866 0.4068 F
0.7817 0.8134 0.9068 F
0.7854 0.2207 0.1217 F
0.7854 0.7793 0.6217 F
0.7880 0.4185 0.2385 F
0.7880 0.5815 0.7385 F
0.8019 0.0005 0.0198 F
0.8019 0.9995 0.5198 F
0.9803 0.1561 0.6140 F
0.9803 0.8439 0.1140 F
0.9806 0.3812 0.0347 F
0.9806 0.6188 0.5347 F
```

Space-group type = Pbcn, No. 60
Crystal system = orthorhombic

---

2.
A plane-wave DFT calculation with GGA-PBEsol was carried out for a relaxed Cs2NaSrF6 crystal.

The structure in POSCAR format:
```
Cs2NaSrF6
1.0
0.0000 4.6063 4.6063
4.6063 0.0000 4.6063
4.6063 4.6063 0.0000
Cs Na Sr F
2 1 1 6
Direct
0.2500 0.2500 0.2500 Cs
0.7500 0.7500 0.7500 Cs
0.0000 0.0000 0.0000 Na
0.5000 0.5000 0.5000 Sr
0.2446 0.2446 0.7554 F
0.2446 0.7554 0.2446 F
0.2446 0.7554 0.7554 F
0.7554 0.2446 0.2446 F
0.7554 0.2446 0.7554 F
0.7554 0.7554 0.2446 F
```

Space-group type = Fm-3m, No. 225
Crystal system = cubic

---

3.
A plane-wave DFT calculation with GGA-PBEsol was carried out for a relaxed Cs2NaTbF6 crystal.

The structure in POSCAR format:
```
Cs2NaTbF6
1.0
0.0000 4.5034 4.5034
4.5034 0.0000 4.5034
4.5034 4.5034 0.0000
Cs Na Tb F
2 1 1 6
Direct
0.2500 0.2500 0.2500 Cs
0.7500 0.7500 0.7500 Cs
0.0000 0.0000 0.0000 Na
0.5000 0.5000 0.5000 Tb
0.2580 0.2580 0.7420 F
0.2580 0.7420 0.2580 F
0.2580 0.7420 0.7420 F
0.7420 0.2580 0.2580 F
0.7420 0.2580 0.7420 F
0.7420 0.7420 0.2580 F
```

Space-group type = Fm-3m, No. 225
Crystal system = cubic

---

4.
A plane-wave DFT calculation with GGA-PBEsol was carried out for a relaxed Cs2NaYF6 crystal.

The structure in POSCAR format:
```
Cs2NaYF6
1.0
0.0000 4.4919 4.4919
4.4919 0.0000 4.4919
4.4919 4.4919 0.0000
Cs Na Y F
2 1 1 6
Direct
0.2500 0.2500 0.2500 Cs
0.7500 0.7500 0.7500 Cs
0.0000 0.0000 0.0000 Na
0.5000 0.5000 0.5000 Y
0.2591 0.2591 0.7409 F
0.2591 0.7409 0.2591 F
0.2591 0.7409 0.7409 F
0.7409 0.2591 0.2591 F
0.7409 0.2591 0.7409 F
0.7409 0.7409 0.2591 F
```

Space-group type = Fm-3m, No. 225
Crystal system = cubic

---

It is found that the M_tot values, taken in the order of the records, are 0.079 1.142 0.058 0.027 μB/f.u..
It is found that the formation energy without anion corrections values, taken in the order of the records, are -2749.2 -2764.1 -3354.9 -3363.1 meV per atom.
It is found that the density values, taken in the order of the records, are 4.2 4.2 5.1 4.5 Mg/m³.